A plane-wave DFT calculation with PBE-GGA was carried out for ScCr2Fe after structural relaxation.

## Properties
Crystal system: cubic
Calculated total energy in eV per atom: -8.1279
E above lowest polymorph in eV/atom: 0.229
Formation energy in meV/atom: 382
Volume in A^3/atom: 12.93

Unit cell a=5.9137 b=5.9137 c=5.9137 alpha=90.00 beta=90.00 gamma=90.00
Closest atoms and distances in Å follow each position.
Space group Fm-3m (No. 225)
One atom of each set of equivalent atoms:
Sc 0.0000 0.0000 0.0000  8 Cr 2.56
Cr 0.2500 0.2500 0.2500  4 Fe 2.56, 4 Sc 2.56
Fe 0.0000 0.0000 0.5000  8 Cr 2.56